Entry 1:
NbAg2AsW (PBE, optimized geometry); calculated volume = 24.62 Å³/atom; E_form = 1.57 eV/atom; total energy = -5.11 eV/atom; total magnetic moment = 0.05 μB per atom
1.0
5.1047 0.0000 0.0000
0.0000 5.1047 0.0000
0.0000 0.0000 4.7241
Nb Ag As W
1 2 1 1
Cartesian
0.0000 0.0000 0.0000 Nb
0.0000 2.5523 2.3621 Ag
2.5523 0.0000 2.3621 Ag
2.5523 2.5523 0.0000 As
0.0000 0.0000 2.3621 W

---

Entry 2:
ScHgI3 (PBE, optimized geometry); calculated volume = 43.85 Å³/atom; raw formation energy = -2.57 eV per formula unit; total energy = -2.77 eV/atom; total magnetic moment = 0.00 μB per atom
1.0
-3.5680 3.5680 8.6119
3.5680 -3.5680 8.6119
3.5680 3.5680 -8.6119
Sc Hg I
2 2 6
Cartesian
0.0000 0.0000 0.0000 Sc
0.0000 3.5680 4.3059 Sc
3.5680 0.0000 1.6411 Hg
3.5680 0.0000 6.9708 Hg
0.0000 0.0000 5.3703 I
0.0000 1.8546 1.9711 I
0.0000 0.0000 11.8534 I
0.0000 5.2814 1.9711 I
-1.7134 3.5680 6.6408 I
1.7134 3.5680 6.6408 I

---

Entry 3:
CaPd2Au (PBE, optimized geometry); calculated volume = 18.18 Å³/atom; E_form = -0.60 eV/atom; total energy = -4.52 eV/atom; total magnetic moment = 0.00 μB per atom
1.0
4.2736 0.0000 0.0000
0.0000 4.2736 0.0000
0.0000 0.0000 3.9814
Ca Pd Au
1 2 1
Cartesian
0.0000 0.0000 0.0000 Ca
0.0000 2.1368 1.9907 Pd
2.1368 0.0000 1.9907 Pd
2.1368 2.1368 0.0000 Au

---

Entry 4:
Y4BiPt (PBE, optimized geometry); calculated volume = 28.59 Å³/atom; E_form = -0.75 eV/atom; total energy = -6.71 eV/atom; total magnetic moment = 0.00 μB per atom
1.0
6.2178 0.0000 0.0000
0.0000 6.6517 0.0000
-3.0539 0.0000 8.2952
Y Bi Pt
8 2 2
Cartesian
-0.5995 0.0058 1.6930 Y
-0.5995 3.3200 1.6930 Y
0.6085 1.6629 5.0810 Y
2.3887 1.6629 0.8303 Y
0.7752 4.9888 7.4649 Y
2.5553 4.9888 3.2142 Y
3.7634 3.3317 6.6022 Y
3.7634 6.6459 6.6022 Y
-0.4217 4.9888 4.5157 Bi
3.5855 1.6629 3.7795 Bi
1.4418 4.9888 0.5866 Pt
1.7220 1.6629 7.7087 Pt

---

Entry 5:
ThUC (PBE, optimized geometry); calculated volume = 21.43 Å³/atom; E_form = 0.29 eV/atom; total energy = -9.02 eV/atom; total magnetic moment = 0.00 μB per atom
1.0
3.1942 0.0000 0.0000
0.0000 8.7971 0.0000
0.0000 0.0000 9.1529
Th U C
4 4 4
Cartesian
0.0000 0.0000 1.5757 Th
0.0000 0.0000 7.5772 Th
1.5971 4.3985 3.0008 Th
1.5971 4.3985 6.1521 Th
0.0000 3.1522 0.0000 U
0.0000 5.6449 0.0000 U
1.5971 1.2463 4.5765 U
1.5971 7.5507 4.5765 U
0.0000 2.9133 4.5765 C
0.0000 5.8837 4.5765 C
1.5971 1.4852 0.0000 C
1.5971 7.3119 0.0000 C

---

Entry 6:
Ho3TlRh (PBE, optimized geometry); calculated volume = 25.88 Å³/atom; E_form = -0.50 eV/atom; total energy = -5.19 eV/atom; total magnetic moment = 0.00 μB per atom
1.0
0.0000 4.8174 8.1523
3.2953 0.0000 8.1523
3.2953 4.8174 0.0000
Ho Tl Rh
6 2 2
Cartesian
3.2953 3.0163 6.3052 Ho
3.2953 4.8174 3.2729 Ho
3.2953 3.0163 9.9994 Ho
3.2953 6.6185 6.3052 Ho
3.2953 4.8174 13.0316 Ho
3.2953 6.6185 9.9994 Ho
5.1668 4.8174 8.1523 Tl
1.4239 4.8174 8.1523 Tl
1.6477 2.4087 4.0761 Rh
4.9430 7.2261 12.2284 Rh

---

Entry 7:
YCrC2 (PBE, optimized geometry); calculated volume = 11.78 Å³/atom; E_form = 0.13 eV/atom; total energy = -8.50 eV/atom; total magnetic moment = 0.27 μB per atom
1.0
3.2060 0.0000 0.0000
-1.6030 2.7765 0.0000
0.0000 0.0000 15.8860
Y Cr C
3 3 6
Cartesian
0.0000 0.0000 0.0000 Y
0.0000 1.8510 10.5907 Y
1.6030 0.9255 5.2953 Y
0.0000 0.0000 7.9430 Cr
0.0000 1.8510 2.6477 Cr
1.6030 0.9255 13.2383 Cr
0.0000 0.0000 3.6896 C
0.0000 0.0000 12.1963 C
0.0000 1.8510 6.9010 C
0.0000 1.8510 14.2803 C
1.6030 0.9255 1.6057 C
1.6030 0.9255 8.9850 C

---

Entry 8:
RbHo2N (PBE, optimized geometry); calculated volume = 27.89 Å³/atom; raw formation energy = -2.03 eV per formula unit; total energy = -5.12 eV/atom; total magnetic moment = 0.26 μB per atom
1.0
3.5352 0.0000 0.0000
-1.7676 3.0616 0.0000
0.0000 0.0000 30.9254
Rb Ho N
3 6 3
Cartesian
0.0000 0.0000 0.0000 Rb
0.0000 2.0411 20.6170 Rb
1.7676 1.0205 10.3085 Rb
0.0000 0.0000 3.8449 Ho
0.0000 0.0000 27.0805 Ho
0.0000 2.0411 16.7720 Ho
0.0000 2.0411 24.4619 Ho
1.7676 1.0205 6.4636 Ho
1.7676 1.0205 14.1534 Ho
0.0000 0.0000 15.4627 N
0.0000 2.0411 5.1542 N
1.7676 1.0205 25.7712 N